No. 1
Here is LiCuTe4 after structural relaxation from Alexandria via LeMat-Bulk. Energies are from PBE.

Results
DOS(E_F) = 0.853 states/eV/atom
VASP energy = -2.681 eV per atom

Unit cell a=6.3873 b=6.3873 c=6.3873 alpha=60.00 beta=60.00 gamma=60.00
Closest atoms and distances in Å follow each position.
Fractional positions:
Li: 0.0000 0.0000 0.0000  12 Te 3.75, 4 Cu 3.91
Cu: 0.2500 0.2500 0.2500  12 Te 3.74, 4 Li 3.91
Te: 0.1268 0.6244 0.6244  6 Te 3.18-3.21
Te: 0.6244 0.1268 0.6244  6 Te 3.18-3.21
Te: 0.6244 0.6244 0.1268  6 Te 3.18-3.21
Te: 0.6244 0.6244 0.6244  6 Te 3.18-3.21

No. 2
Here is LiCuTe after structural relaxation from Alexandria via LeMat-Bulk. Energies are from PBE.

Results
VASP energy = -3.350 eV per atom

Unit cell a=5.4419 b=4.5447 c=4.4250 alpha=74.69 beta=53.66 gamma=51.65
Closest atoms and distances in Å follow each position.
Fractional positions:
Li: 0.0000 0.0000 0.0000  3 Cu 2.60-2.65, 3 Te 2.63-2.64
Cu: 0.6682 0.6682 0.3318  3 Li 2.60-2.65, 3 Te 2.61-2.65
Te: 0.3353 0.3353 0.6647  3 Cu 2.61-2.65, 3 Li 2.63-2.64

No. 3
Here is LiCuTe2 after structural relaxation from Alexandria via LeMat-Bulk. Energies are from PBE.

Results
DOS(E_F) = 0.409 states/eV/atom
VASP energy = -3.196 eV per atom

Unit cell a=3.9780 b=3.9961 c=5.5151 alpha=90.00 beta=90.00 gamma=90.00
Closest atoms and distances in Å follow each position.
Fractional positions:
Li: 0.0000 0.0000 0.0000  4 Te 2.82
Cu: 0.5000 0.0000 0.5000  4 Te 2.82
Te: 0.0000 0.5000 0.5000  4 Cu 2.82
Te: 0.5000 0.5000 0.0000  4 Li 2.82

No. 4
Here is Li2Cu2Te after structural relaxation from Alexandria via LeMat-Bulk. Energies are from PBE.

Results
DOS(E_F) = 0.134 states/eV/atom
VASP energy = -3.219 eV per atom

Unit cell a=6.6518 b=6.6518 c=3.9735 alpha=90.00 beta=90.00 gamma=90.00
Closest atoms and distances in Å follow each position.
Fractional positions:
Li: 0.1674 0.3326 0.0000  6 Cu 2.78-2.80
Li: 0.3326 0.8326 0.0000  6 Cu 2.78-2.80
Li: 0.6674 0.1674 0.0000  6 Cu 2.78-2.80
Li: 0.8326 0.6674 0.0000  6 Cu 2.78-2.80
Cu: 0.1256 0.6256 0.5000  1 Cu 2.36, 2 Te 2.63
Cu: 0.3744 0.1256 0.5000  1 Cu 2.36, 2 Te 2.63
Cu: 0.6256 0.8744 0.5000  1 Cu 2.36, 2 Te 2.63
Cu: 0.8744 0.3744 0.5000  1 Cu 2.36, 2 Te 2.63
Te: 0.0000 0.0000 0.5000  4 Cu 2.63
Te: 0.5000 0.5000 0.5000  4 Cu 2.63

No. 5
Here is LiCuTe2 after structural relaxation from Alexandria via LeMat-Bulk. Energies are from PBE.

Results
DOS(E_F) = 0.217 states/eV/atom
VASP energy = -3.348 eV per atom

Unit cell a=3.2218 b=4.7042 c=5.6858 alpha=90.00 beta=90.00 gamma=90.00
Closest atoms and distances in Å follow each position.
Fractional positions:
Li: 0.0000 0.0000 0.0000  6 Te 2.84-2.85
Cu: 0.5000 0.5000 0.5000  6 Te 2.84-2.85
Te: 0.0000 0.0000 0.5000  2 Li 2.84, 4 Cu 2.85
Te: 0.5000 0.5000 0.0000  2 Cu 2.84, 4 Li 2.85

No. 6
Here is LiCuTe2 after structural relaxation from Alexandria via LeMat-Bulk. Energies are from PBE.

Results
DOS(E_F) = 0.573 states/eV/atom
VASP energy = -3.138 eV per atom

Unit cell a=3.8060 b=3.8060 c=6.0591 alpha=90.00 beta=90.00 gamma=90.00
Closest atoms and distances in Å follow each position.
Fractional positions:
Li: 0.0000 0.0000 0.0000  2 Cu 3.03, 8 Te 3.10
Cu: 0.0000 0.0000 0.5000  2 Li 3.03, 8 Te 3.08
Te: 0.5000 0.5000 0.2531  2 Te 2.99-3.07, 4 Cu 3.08, 4 Li 3.10
Te: 0.5000 0.5000 0.7469  2 Te 2.99-3.07, 4 Cu 3.08, 4 Li 3.10

No. 7
Here is LiCuTe after structural relaxation from Alexandria via LeMat-Bulk. Energies are from PBE.

Results
VASP energy = -3.412 eV per atom

Unit cell a=5.5374 b=5.5374 c=9.2141 alpha=90.00 beta=90.00 gamma=83.80
Closest atoms and distances in Å follow each position.
Fractional positions:
Li: 0.2039 0.2039 0.0000  2 Cu 2.75, 2 Te 2.78
Li: 0.2961 0.2961 0.5000  2 Cu 2.75, 2 Te 2.78
Li: 0.7039 0.7039 0.5000  2 Cu 2.75, 2 Te 2.78
Li: 0.7961 0.7961 0.0000  2 Cu 2.75, 2 Te 2.78
Cu: 0.0920 0.9080 0.6167  1 Cu 2.54, 3 Te 2.55-2.61, 2 Li 2.75
Cu: 0.4080 0.5920 0.1167  1 Cu 2.54, 3 Te 2.55-2.61, 2 Li 2.75
Cu: 0.5920 0.4080 0.8833  1 Cu 2.54, 3 Te 2.55-2.61, 2 Li 2.75
Cu: 0.9080 0.0920 0.3833  1 Cu 2.54, 3 Te 2.55-2.61, 2 Li 2.75
Te: 0.2473 0.7527 0.8644  3 Cu 2.55-2.61, 2 Li 2.78
Te: 0.2527 0.7473 0.3644  3 Cu 2.55-2.61, 2 Li 2.78
Te: 0.7473 0.2527 0.6356  3 Cu 2.55-2.61, 2 Li 2.78
Te: 0.7527 0.2473 0.1356  3 Cu 2.55-2.61, 2 Li 2.78

No. 8
Here is LiCuTe2 after structural relaxation from Alexandria via LeMat-Bulk. Energies are from PBE.

Results
DOS(E_F) = 0.583 states/eV/atom
VASP energy = -3.249 eV per atom

Unit cell a=6.4465 b=6.4465 c=6.4465 alpha=145.57 beta=144.17 gamma=50.53
Closest atoms and distances in Å follow each position.
Fractional positions:
Li: 0.0000 0.0000 0.0000  6 Te 2.83-2.97
Cu: 0.2808 0.7808 0.5000  6 Te 2.69-2.95
Te: 0.4437 0.4437 0.0000  2 Cu 2.69, 4 Li 2.83
Te: 0.6898 0.1898 0.5000  4 Cu 2.95, 2 Li 2.97

No. 9
Here is LiCuTe2 after structural relaxation from Alexandria via LeMat-Bulk. Energies are from PBE.

Results
DOS(E_F) = 0.628 states/eV/atom
VASP energy = -3.290 eV per atom

Unit cell a=6.9800 b=6.9800 c=6.9800 alpha=124.57 beta=124.57 gamma=82.25
Closest atoms and distances in Å follow each position.
Fractional positions:
Li: 0.0000 0.0000 0.0000  4 Te 2.77
Li: 0.7500 0.2500 0.5000  4 Te 2.77
Cu: 0.2500 0.7500 0.5000  4 Te 2.53
Cu: 0.5000 0.5000 0.0000  4 Te 2.53
Te: 0.1555 0.6250 0.0305  2 Cu 2.53, 2 Li 2.77
Te: 0.3750 0.4055 0.5305  2 Cu 2.53, 2 Li 2.77
Te: 0.5945 0.1250 0.9695  2 Cu 2.53, 2 Li 2.77
Te: 0.8750 0.8445 0.4695  2 Cu 2.53, 2 Li 2.77

No. 10
Here is LiCuTe2 after structural relaxation from Alexandria via LeMat-Bulk. Energies are from PBE.

Results
DOS(E_F) = 0.520 states/eV/atom
VASP energy = -3.111 eV per atom

Unit cell a=3.3515 b=3.3515 c=7.8868 alpha=90.00 beta=90.00 gamma=90.00
Closest atoms and distances in Å follow each position.
Fractional positions:
Li: 0.0000 0.0000 0.0000  8 Te 3.15, 4 Li 3.35
Cu: 0.0000 0.0000 0.5000  8 Te 3.02, 4 Cu 3.35
Te: 0.5000 0.5000 0.2630  4 Cu 3.02, 4 Li 3.15, 4 Te 3.35
Te: 0.5000 0.5000 0.7370  4 Cu 3.02, 4 Li 3.15, 4 Te 3.35

No. 11
Here is LiCuTe2 after structural relaxation from Alexandria via LeMat-Bulk. Energies are from PBE.

Results
DOS(E_F) = 0.516 states/eV/atom
VASP energy = -3.234 eV per atom

Unit cell a=5.5066 b=5.5066 c=5.5066 alpha=138.56 beta=115.18 gamma=79.91
Closest atoms and distances in Å follow each position.
Fractional positions:
Li: 0.0000 0.0000 0.0000  8 Te 3.18-3.41, 4 Cu 3.54
Cu: 0.5000 0.5000 0.0000  4 Te 2.59
Te: 0.2972 0.7972 0.5000  2 Cu 2.59
Te: 0.7028 0.2028 0.5000  2 Cu 2.59

No. 12
Here is LiCuTe2 after structural relaxation from Alexandria via LeMat-Bulk. Energies are from PBE.

Results
DOS(E_F) = 0.518 states/eV/atom
VASP energy = -3.210 eV per atom

Unit cell a=8.7620 b=8.7620 c=8.7620 alpha=24.93 beta=24.93 gamma=24.93
Closest atoms and distances in Å follow each position.
Fractional positions:
Li: 0.0000 0.0000 0.0000  2 Te 2.65
Cu: 0.5000 0.5000 0.5000  6 Te 2.70
Te: 0.1040 0.1040 0.1040  1 Li 2.65, 3 Cu 2.70
Te: 0.8960 0.8960 0.8960  1 Li 2.65, 3 Cu 2.70